No. 1
meta-GGA SCAN HgAu, PBEsol geometry; total DFT energy (no corrections) = -68.557 eV per atom; total magnetic moment = 0.000 μB per atom; formation enthalpy at 0 K = 0.10 eV/atom
1.0
3.1814 0.0000 0.0000
-1.5907 5.2535 -0.1297
0.0000 -2.3288 6.9317
Hg Au
3 3
Direct
0.0195 0.0390 0.6012
0.7011 0.4021 0.3433
0.7161 0.4321 0.9468
0.4173 0.8346 0.2564
0.3102 0.6203 0.6887
0.0026 0.0052 0.9969

=====

No. 2
meta-GGA SCAN Pr2Ni3P4, PBEsol geometry; total DFT energy (no corrections) = -20.700 eV per atom; total magnetic moment = 0.000 μB per atom; formation enthalpy at 0 K = -1.06 eV/atom
1.0
3.9297 0.0000 0.0000
0.0000 3.9297 0.0000
0.0000 0.0000 9.1958
Pr P Ni
2 4 3
Direct
0.0000 0.5000 0.2380
0.5000 0.0000 0.7620
0.5000 0.0000 0.1204
0.0000 0.5000 0.6236
0.5000 0.0000 0.3764
0.0000 0.5000 0.8796
0.5000 0.5000 0.5000
0.0000 0.0000 0.5000
0.0000 0.0000 0.0000

=====

No. 3
meta-GGA SCAN Ho2FeSi2, PBEsol geometry; total DFT energy (no corrections) = -27.895 eV per atom; total magnetic moment = 0.000 μB per atom; ΔE_f (raw) = -0.6679 eV/atom
1.0
-1.3081 1.2383 -3.6604
-4.6700 -2.5920 -1.4811
-5.5039 6.5802 1.9200
Ho Si Fe
4 4 2
Direct
0.1890 0.7299 0.8920
0.0020 0.6687 0.3273
0.9980 0.3313 0.6727
0.8110 0.2701 0.1080
0.6543 0.2553 0.4360
0.5008 0.1262 0.8722
0.3457 0.7447 0.5640
0.4992 0.8738 0.1278
0.2716 0.0798 0.3768
0.7284 0.9202 0.6232

=====

No. 4
meta-GGA SCAN CsRe3Si, PBEsol geometry; total DFT energy (no corrections) = -47.634 eV per atom; total magnetic moment = 0.721 μB per atom; ΔE_f (raw) = 4.5894 eV/atom
1.0
4.8664 0.0000 0.0000
0.0000 4.8664 0.0000
0.0000 0.0000 4.8664
Si Re Cs
1 3 1
Direct
0.5000 0.5000 0.5000
0.0000 0.0000 0.5000
0.5000 0.0000 0.0000
0.0000 0.5000 0.0000
0.0000 0.0000 0.0000

=====

No. 5
meta-GGA SCAN LiInAg2, PBEsol geometry; total DFT energy (no corrections) = -24.825 eV per atom; total magnetic moment = 0.000 μB per atom; formation enthalpy at 0 K = -0.20 eV/atom
1.0
4.5928 0.0000 0.0000
2.2964 3.9774 0.0000
2.2964 1.3258 3.7500
Li Ag In
1 2 1
Direct
0.7500 0.7500 0.7500
0.2500 0.2500 0.2500
0.0000 0.0000 0.0000
0.5000 0.5000 0.5000

=====

No. 6
meta-GGA SCAN YScTl2, PBEsol geometry; total DFT energy (no corrections) = -47.225 eV per atom; total magnetic moment = 0.106 μB per atom; formation enthalpy at 0 K = -0.53 eV/atom
1.0
4.8171 0.0000 0.0000
-2.4086 4.7897 0.0589
0.0000 2.3707 4.1933
Y Sc Tl
1 1 2
Direct
0.0000 0.0000 0.0000
0.5000 0.0000 0.5000
0.7500 0.5000 0.7500
0.2500 0.5000 0.2500

=====

No. 7
meta-GGA SCAN NiIr2Ru, PBEsol geometry; total DFT energy (no corrections) = -48.287 eV per atom; total magnetic moment = 0.132 μB per atom; formation enthalpy at 0 K = 0.01 eV/atom
1.0
2.6641 0.0000 0.0000
0.0000 4.5674 -0.0035
-1.3320 -0.7713 4.3089
Ir Ru Ni
2 1 1
Direct
0.7505 0.7525 0.5011
0.2495 0.2475 0.4989
0.0000 0.5000 0.0000
0.5000 0.0000 0.0000

=====

No. 8
meta-GGA SCAN BiWN2F, PBEsol geometry; total DFT energy (no corrections) = -32.215 eV per atom; total magnetic moment = 0.158 μB per atom; ΔE_f (raw) = 1.8626 eV/atom
1.0
3.6737 0.0000 0.0000
0.0000 4.4129 0.0000
0.0000 0.0000 4.4129
N W F Bi
2 1 1 1
Direct
0.0000 0.5000 0.0000
0.0000 0.0000 0.5000
0.5000 0.0000 0.0000
0.0000 0.0000 0.0000
0.5000 0.5000 0.5000